Entry 1:
This record from the Alexandria database describes crystalline ScFeCo2 at its relaxed geometry. The functional is GGA-PBEsol.

It has space group Immm (No. 71), with a = 3.012 Å, b = 4.130 Å, c = 8.105 Å, α = 90.00°, β = 90.00° and γ = 90.00°. The distinct sites, in fractional coordinates, are Sc at (0.000, 0.000, 0.000), Fe at (0.000, 0.000, 0.500) and Co at (0.000, 0.500, 0.236).

For the energy of formation, the calculation gives 0.0100 eV per atom. As for the density of states at the Fermi level: 7.15 states/eV per cell. The value obtained for the electronic total energy is -62.01 eV for the cell shown.


Entry 2:
This record from the Alexandria database describes crystalline ScFeCo2 at its relaxed geometry. The functional is GGA-PBEsol.

It has space group C2/m (No. 12), with a = 5.063 Å, b = 7.939 Å, c = 2.643 Å, α = 90.00°, β = 110.61° and γ = 90.00°. The distinct sites, in fractional coordinates, are Sc at (0.000, 0.000, 0.000), Fe at (0.000, 0.500, 0.000) and Co at (0.250, 0.250, 0.500).

For the energy of formation, the calculation gives 0.0695 eV per atom. As for the density of states at the Fermi level: 8.12 states/eV per cell. The value obtained for the electronic total energy is -61.53 eV for the cell shown.


Entry 3:
This record from the Alexandria database describes crystalline Sc2FeCo at its relaxed geometry. The functional is GGA-PBEsol.

It has space group P4mm (No. 99), with a = 2.925 Å, b = 2.925 Å, c = 7.641 Å, α = 90.00°, β = 90.00° and γ = 90.00°. The distinct sites, in fractional coordinates, are Sc at (0.000, 0.000, 0.000), Sc at (0.500, 0.500, 0.380), Fe at (0.500, 0.500, 0.766) and Co at (0.000, 0.000, 0.603).

For the energy of formation, the calculation gives -0.0283 eV per atom. As for the density of states at the Fermi level: 3.71 states/eV per cell. The value obtained for the electronic total energy is -30.02 eV for the cell shown.


Entry 4:
This record from the Alexandria database describes crystalline Sc2FeCo at its relaxed geometry. The functional is GGA-PBEsol.

It has space group Pmm2 (No. 25), with a = 2.858 Å, b = 4.086 Å, c = 5.206 Å, α = 90.00°, β = 90.00° and γ = 90.00°. The distinct sites, in fractional coordinates, are Sc at (0.000, 0.000, 0.000), Sc at (0.500, 0.500, 0.364), Fe at (0.500, 0.500, 0.834) and Co at (0.000, 0.000, 0.534).

For the energy of formation, the calculation gives 0.1129 eV per atom. As for the density of states at the Fermi level: 4.73 states/eV per cell. The value obtained for the electronic total energy is -29.46 eV for the cell shown.


Entry 5:
This record from the Alexandria database describes crystalline FeCoSe2 at its relaxed geometry. The functional is GGA-PBEsol.

It has space group P4mm (No. 99), with a = 3.190 Å, b = 3.190 Å, c = 6.107 Å, α = 90.00°, β = 90.00° and γ = 90.00°. The distinct sites, in fractional coordinates, are Fe at (0.000, 0.000, 0.000), Co at (0.500, 0.500, 0.770), Se at (0.000, 0.000, 0.626) and Se at (0.500, 0.500, 0.148).

The formation energy without anion corrections comes out at -0.16 eV/atom. As for the density of states at the Fermi level: 4.32 states/eV per cell. The value obtained for the electronic total energy is -25.04 eV for the cell shown.


Entry 6:
This record from the Alexandria database describes crystalline FeCoSe2 at its relaxed geometry. The functional is GGA-PBEsol.

It has space group Pm (No. 6), with a = 3.612 Å, b = 3.612 Å, c = 5.344 Å, α = 90.00°, β = 90.13° and γ = 90.00°. The distinct sites, in fractional coordinates, are Fe at (0.000, 0.000, 0.000), Co at (0.500, 0.500, 0.000), Se at (0.501, 0.000, 0.258) and Se at (0.999, 0.500, 0.742).

The formation energy without anion corrections comes out at -0.34 eV/atom. As for the density of states at the Fermi level: 1.61 states/eV per cell. The value obtained for the electronic total energy is -25.75 eV for the cell shown.


Entry 7:
This record from the Alexandria database describes crystalline FeCoTe2Se at its relaxed geometry. The functional is GGA-PBEsol.

It has space group P4/mmm (No. 123), with a = 5.127 Å, b = 5.127 Å, c = 4.188 Å, α = 90.00°, β = 90.00° and γ = 90.00°. The distinct sites, in fractional coordinates, are Fe at (0.000, 0.000, 0.000), Co at (0.500, 0.500, 0.500), Te at (0.000, 0.500, 0.000) and Se at (0.000, 0.000, 0.500).

The formation energy without anion corrections comes out at 0.82 eV/atom. As for the density of states at the Fermi level: 9.01 states/eV per cell. The value obtained for the electronic total energy is -23.51 eV for the cell shown.


Entry 8:
This record from the Alexandria database describes crystalline FeCoSi at its relaxed geometry. The functional is GGA-PBEsol.

It has space group Pnma (No. 62), with a = 4.795 Å, b = 3.707 Å, c = 6.969 Å, α = 90.00°, β = 90.00° and γ = 90.00°. The distinct sites, in fractional coordinates, are Fe at (0.169, 0.250, 0.064), Co at (0.036, 0.250, 0.721) and Si at (0.191, 0.250, 0.398).

The formation energy without anion corrections comes out at -0.44 eV/atom. As for the density of states at the Fermi level: 12.92 states/eV per cell. The value obtained for the electronic total energy is -95.06 eV for the cell shown.